Compound: Tc2BiAs
Source: the Alexandria database
Functional: PBE
Structure: optimized geometry

CIF file:
```
data_Tc2BiAs
_cell_length_a 6.484
_cell_length_b 6.484
_cell_length_c 6.484
_cell_angle_alpha 90.00
_cell_angle_beta 90.00
_cell_angle_gamma 90.00
_space_group_name_H-M_alt 'F m -3 m'
_space_group_IT_number 225
_space_group_name_Hall '-F 4 2 3'
loop_
_atom_site_label
_atom_site_type_symbol
_atom_site_fract_x
_atom_site_fract_y
_atom_site_fract_z
Tc1 Tc 0.250 0.250 0.250
Bi1 Bi 0.000 0.000 0.000
As1 As 0.000 0.000 0.500
```

Summary:
**Magnetic moment**: 0.00 μB per atom
**E above lowest polymorph**: 0 meV/atom
**D(E_F)**: 0.80 states/eV per atom

---

Compound: TcBiAs2
Source: the Alexandria database
Functional: PBE
Structure: optimized geometry

CIF file:
```
data_TcBiAs2
_cell_length_a 6.185
_cell_length_b 6.185
_cell_length_c 11.488
_cell_angle_alpha 90.00
_cell_angle_beta 90.00
_cell_angle_gamma 90.00
_space_group_name_H-M_alt 'I -4 2 d'
_space_group_IT_number 122
_space_group_name_Hall 'I -4 2bw'
loop_
_atom_site_label
_atom_site_type_symbol
_atom_site_fract_x
_atom_site_fract_y
_atom_site_fract_z
Tc1 Tc 0.000 0.000 0.000
Bi1 Bi 0.000 0.000 0.500
As1 As 0.180 0.250 0.125
```

Summary:
**Magnetic moment**: 0.00 μB per atom
**D(E_F)**: 0.42 states/eV per atom

---

Compound: Tc2BiAs
Source: the Alexandria database
Functional: PBE
Structure: optimized geometry

CIF file:
```
data_Tc2BiAs
_cell_length_a 5.916
_cell_length_b 5.916
_cell_length_c 11.330
_cell_angle_alpha 90.00
_cell_angle_beta 90.00
_cell_angle_gamma 90.00
_space_group_name_H-M_alt 'I -4 2 d'
_space_group_IT_number 122
_space_group_name_Hall 'I -4 2bw'
loop_
_atom_site_label
_atom_site_type_symbol
_atom_site_fract_x
_atom_site_fract_y
_atom_site_fract_z
Tc1 Tc 0.207 0.250 0.125
Bi1 Bi 0.000 0.000 0.500
As1 As 0.000 0.000 0.000
```

Summary:
**Magnetic moment**: 0.00 μB per atom
**E above lowest polymorph**: 465 meV/atom
**D(E_F)**: 0.62 states/eV per atom

---

Compound: TcBiAs3
Source: the Alexandria database
Functional: PBE
Structure: optimized geometry

CIF file:
```
data_TcBiAs3
_cell_length_a 4.872
_cell_length_b 4.872
_cell_length_c 4.872
_cell_angle_alpha 90.00
_cell_angle_beta 90.00
_cell_angle_gamma 90.00
_space_group_name_H-M_alt 'P m -3 m'
_space_group_IT_number 221
_space_group_name_Hall '-P 4 2 3'
loop_
_atom_site_label
_atom_site_type_symbol
_atom_site_fract_x
_atom_site_fract_y
_atom_site_fract_z
Tc1 Tc 0.000 0.000 0.000
Bi1 Bi 0.500 0.500 0.500
As1 As 0.000 0.000 0.500
```

Summary:
**Magnetic moment**: 0.00 μB per atom
**E above lowest polymorph**: 0 meV/atom
**D(E_F)**: 0.97 states/eV per atom

---

Number 1: electronic total energy -6.913 eV/atom. Number 2: electronic total energy -5.612 eV/atom. Number 3: electronic total energy -6.449 eV/atom. Number 4: electronic total energy -5.230 eV/atom.